## i
Below is a relaxed structure of Mg2AgIr, with properties calculated at the PBE level.

Calculated values
- Crystal system: cubic
- Space group: No. 216
- Theoretical density: 8.52 Mg/m³

a b c (Å): 4.5797 4.5797 4.5797
angles (deg): 60.00 60.00 60.00
Fractional positions:
Mg 0.0000 0.0000 0.0000
Mg 0.2500 0.2500 0.2500
Ag 0.7500 0.7500 0.7500
Ir 0.5000 0.5000 0.5000

***

## ii
Below is a relaxed structure of Mg2AgIr, with properties calculated at the PBE level.

Calculated values
- Crystal system: orthorhombic
- Space group: No. 25
- Theoretical density: 8.47 Mg/m³

a b c (Å): 2.9358 4.1814 5.5694
angles (deg): 90.00 90.00 90.00
Fractional positions:
Mg 0.0000 0.0000 0.0000
Mg 0.5000 0.5000 0.3102
Ag 0.0000 0.0000 0.5245
Ir 0.5000 0.5000 0.8183

***

Stability verdict: ii, ahead by 17 meV/atom

***

## i
Below is a relaxed structure of Mg2AgIr, with properties calculated at the PBE level.

Calculated values
- Crystal system: monoclinic
- Space group: No. 8
- Theoretical density: 8.56 Mg/m³

a b c (Å): 5.1611 5.1611 4.6198
angles (deg): 106.21 106.21 35.10
Fractional positions:
Mg 0.0000 0.0000 0.0000
Mg 0.2250 0.2250 0.6370
Ag 0.7496 0.7496 0.1571
Ir 0.4899 0.4899 0.5049

***

## ii
Below is a relaxed structure of Mg2AgIr, with properties calculated at the PBE level.

Calculated values
- Crystal system: tetragonal
- Space group: No. 119
- Theoretical density: 8.63 Mg/m³

a b c (Å): 5.1122 5.1122 5.1122
angles (deg): 134.40 134.40 66.46
Fractional positions:
Mg 0.0000 0.0000 0.0000
Mg 0.7500 0.2500 0.5000
Ag 0.2500 0.7500 0.5000
Ir 0.5000 0.5000 0.0000

***

Stability verdict: i, ahead by 34 meV/atom

***

## i
Below is a relaxed structure of Mg2AgIr, with properties calculated at the PBE level.

Calculated values
- Crystal system: tetragonal
- Space group: No. 122
- Theoretical density: 7.70 Mg/m³

a b c (Å): 9.4831 9.4831 9.4831
angles (deg): 155.16 155.16 35.42
Fractional positions:
Mg 0.1099 0.6250 0.9849
Mg 0.3750 0.3599 0.4849
Mg 0.6401 0.1250 0.0151
Mg 0.8750 0.8901 0.5151
Ag 0.2500 0.7500 0.5000
Ag 0.5000 0.5000 0.0000
Ir 0.0000 0.0000 0.0000
Ir 0.7500 0.2500 0.5000

***

## ii
Below is a relaxed structure of Mg2AgIr, with properties calculated at the PBE level.

Calculated values
- Crystal system: cubic
- Space group: No. 225
- Theoretical density: 8.76 Mg/m³

a b c (Å): 4.5377 4.5377 4.5377
angles (deg): 60.00 60.00 60.00
Fractional positions:
Mg 0.2500 0.2500 0.2500
Mg 0.7500 0.7500 0.7500
Ag 0.0000 0.0000 0.0000
Ir 0.5000 0.5000 0.5000

***

Stability verdict: ii, ahead by 533 meV/atom